[1]
GeS2N | Alexandria via LeMat-Bulk | PBE | relaxed; total magnetic moment = 0.00 μB per formula unit; raw formation energy = 576 meV per atom
1.0
2.382 0.000 5.846
-1.191 2.063 5.846
-1.191 -2.063 5.846
Ge S N
1 2 1
Direct
0.500 0.500 0.500
0.911 0.911 0.911
0.089 0.089 0.089
0.000 0.000 0.000



[2]
GeSN3 | Alexandria via LeMat-Bulk | PBE | relaxed; total magnetic moment = 0.00 μB per formula unit; raw formation energy = 1985 meV per atom
1.0
3.791 0.000 0.000
0.000 3.791 0.000
0.000 0.000 3.791
Ge S N
1 1 3
Direct
0.000 0.000 0.000
0.500 0.500 0.500
0.000 0.500 0.000
0.000 0.000 0.500
0.500 0.000 0.000



[3]
GeSN2 | Alexandria via LeMat-Bulk | PBE | relaxed; total magnetic moment = 0.00 μB per formula unit; raw formation energy = 582 meV per atom
1.0
4.237 -1.203 2.583
4.851 1.383 0.793
2.886 3.006 5.332
Ge S N
1 1 2
Direct
0.122 0.122 0.104
0.995 0.995 0.684
0.972 0.972 0.482
0.802 0.802 0.991



Question: Look up the raw formation energy of the third one.
Answer: 582 meV per atom